w | DFT (GGA-PBE) results for a relaxed DyPaPO crystal.

```
data_DyPaPO
_chemical_formula_sum 'Dy2 Pa2 P2 O2'
_space_group_name_H-M_alt 'P 1'
_space_group_IT_number 1
_cell_length_a 4.1313
_cell_length_b 7.8763
_cell_length_c 5.4676
_cell_angle_alpha 90.00
_cell_angle_beta 90.00
_cell_angle_gamma 90.00
loop_
_space_group_symop_operation_xyz
'x,y,z'
loop_
_atom_site_label
_atom_site_type_symbol
_atom_site_fract_x
_atom_site_fract_y
_atom_site_fract_z
_atom_site_occupancy
Pa1 Pa 0.5000 0.3743 0.9386 1
O1 O 0.5000 0.3285 0.4383 1
Pa2 Pa 0.5000 0.6257 0.4386 1
O2 O 0.5000 0.6715 0.9383 1
P1 P 0.0000 0.8569 0.4386 1
Dy1 Dy 0.0000 0.7922 0.9386 1
Dy2 Dy 0.0000 0.2078 0.4386 1
P2 P 0.0000 0.1431 0.9386 1
```

=====

x | DFT (GGA-PBE) results for a relaxed DyPaPO crystal.

```
data_DyPaPO
_chemical_formula_sum 'Dy2 Pa2 P2 O2'
_space_group_name_H-M_alt 'P 1'
_space_group_IT_number 1
_cell_length_a 4.1532
_cell_length_b 4.1532
_cell_length_c 8.9981
_cell_angle_alpha 90.00
_cell_angle_beta 90.00
_cell_angle_gamma 90.00
loop_
_space_group_symop_operation_xyz
'x,y,z'
loop_
_atom_site_label
_atom_site_type_symbol
_atom_site_fract_x
_atom_site_fract_y
_atom_site_fract_z
_atom_site_occupancy
Pa1 Pa 0.2500 0.2500 0.1387 1
P1 P 0.2500 0.2500 0.7168 1
Pa2 Pa 0.7500 0.7500 0.8613 1
P2 P 0.7500 0.7500 0.2832 1
Dy1 Dy 0.7500 0.2500 0.5000 1
O1 O 0.7500 0.2500 0.0000 1
Dy2 Dy 0.2500 0.7500 0.5000 1
O2 O 0.2500 0.7500 0.0000 1
```

=====

w wins, 28 meV per atom ahead of the next structure.

=====

w | DFT (GGA-PBE) results for a relaxed Cu7Ag3 crystal.

```
data_Cu7Ag3
_chemical_formula_sum 'Cu7 Ag3'
_space_group_name_H-M_alt 'P 1'
_space_group_IT_number 1
_cell_length_a 6.5775
_cell_length_b 2.7355
_cell_length_c 7.8657
_cell_angle_alpha 90.00
_cell_angle_beta 103.67
_cell_angle_gamma 90.00
loop_
_space_group_symop_operation_xyz
'x,y,z'
loop_
_atom_site_label
_atom_site_type_symbol
_atom_site_fract_x
_atom_site_fract_y
_atom_site_fract_z
_atom_site_occupancy
Cu1 Cu 0.5966 0.5000 0.7972 1
Cu2 Cu 0.4034 0.5000 0.2028 1
Ag1 Ag 0.2012 0.5000 0.6124 1
Ag2 Ag 0.7988 0.5000 0.3876 1
Cu3 Cu 0.6823 0.0000 0.0864 1
Cu4 Cu 0.3177 0.0000 0.9136 1
Ag3 Ag 0.0000 0.5000 0.0000 1
Cu5 Cu 0.5000 0.0000 0.5000 1
Cu6 Cu 0.8766 0.0000 0.6978 1
Cu7 Cu 0.1234 0.0000 0.3022 1
```

=====

x | DFT (GGA-PBE) results for a relaxed Cu7Ag3 crystal.

```
data_Cu7Ag3
_chemical_formula_sum 'Cu7 Ag3'
_space_group_name_H-M_alt 'P 1'
_space_group_IT_number 1
_cell_length_a 2.7853
_cell_length_b 2.7853
_cell_length_c 17.5976
_cell_angle_alpha 90.00
_cell_angle_beta 90.00
_cell_angle_gamma 90.00
loop_
_space_group_symop_operation_xyz
'x,y,z'
loop_
_atom_site_label
_atom_site_type_symbol
_atom_site_fract_x
_atom_site_fract_y
_atom_site_fract_z
_atom_site_occupancy
Cu1 Cu 0.5000 0.5000 0.4944 1
Ag1 Ag 0.5000 0.5000 0.0856 1
Ag2 Ag 0.0000 0.0000 0.6033 1
Cu2 Cu 0.5000 0.5000 0.3185 1
Cu3 Cu 0.0000 0.0000 0.9778 1
Ag3 Ag 0.0000 0.0000 0.2111 1
Cu4 Cu 0.5000 0.5000 0.8897 1
Cu5 Cu 0.0000 0.0000 0.4061 1
Cu6 Cu 0.0000 0.0000 0.8009 1
Cu7 Cu 0.5000 0.5000 0.7124 1
```

=====

x wins, 24 meV per atom ahead of the next structure.

=====

w | DFT (GGA-PBE) results for a relaxed HgAsIrO crystal.

```
data_HgAsIrO
_chemical_formula_sum 'Hg2 As2 Ir2 O2'
_space_group_name_H-M_alt 'P 1'
_space_group_IT_number 1
_cell_length_a 4.1080
_cell_length_b 4.1080
_cell_length_c 8.3536
_cell_angle_alpha 90.00
_cell_angle_beta 90.00
_cell_angle_gamma 90.00
loop_
_space_group_symop_operation_xyz
'x,y,z'
loop_
_atom_site_label
_atom_site_type_symbol
_atom_site_fract_x
_atom_site_fract_y
_atom_site_fract_z
_atom_site_occupancy
As1 As 0.0000 0.5000 0.2025 1
Ir1 Ir 0.0000 0.5000 0.9078 1
Hg1 Hg 0.0000 0.0000 0.5000 1
O1 O 0.0000 0.0000 0.0000 1
Ir2 Ir 0.5000 0.0000 0.0922 1
Hg2 Hg 0.5000 0.5000 0.5000 1
As2 As 0.5000 0.0000 0.7975 1
O2 O 0.5000 0.5000 0.0000 1
```

=====

x | DFT (GGA-PBE) results for a relaxed HgAsIrO crystal.

```
data_HgAsIrO
_chemical_formula_sum 'Hg2 As2 Ir2 O2'
_space_group_name_H-M_alt 'P 1'
_space_group_IT_number 1
_cell_length_a 4.1332
_cell_length_b 4.1332
_cell_length_c 8.1623
_cell_angle_alpha 90.00
_cell_angle_beta 90.00
_cell_angle_gamma 90.00
loop_
_space_group_symop_operation_xyz
'x,y,z'
loop_
_atom_site_label
_atom_site_type_symbol
_atom_site_fract_x
_atom_site_fract_y
_atom_site_fract_z
_atom_site_occupancy
As1 As 0.2500 0.2500 0.6704 1
Ir1 Ir 0.7500 0.2500 0.5000 1
As2 As 0.7500 0.7500 0.3296 1
Ir2 Ir 0.2500 0.7500 0.5000 1
Hg1 Hg 0.7500 0.7500 0.8824 1
O1 O 0.2500 0.7500 0.0000 1
Hg2 Hg 0.2500 0.2500 0.1176 1
O2 O 0.7500 0.2500 0.0000 1
```

=====

x wins, 473 meV per atom ahead of the next structure.

=====

w | DFT (GGA-PBE) results for a relaxed OsAuSO crystal.

```
data_OsAuSO
_chemical_formula_sum 'Os4 Au4 S4 O4'
_space_group_name_H-M_alt 'P 1'
_space_group_IT_number 1
_cell_length_a 6.0002
_cell_length_b 7.3093
_cell_length_c 5.4345
_cell_angle_alpha 90.00
_cell_angle_beta 90.00
_cell_angle_gamma 90.00
loop_
_space_group_symop_operation_xyz
'x,y,z'
loop_
_atom_site_label
_atom_site_type_symbol
_atom_site_fract_x
_atom_site_fract_y
_atom_site_fract_z
_atom_site_occupancy
Au1 Au 0.8077 0.8300 0.8842 1
Os1 Os 0.8703 0.3075 0.9895 1
Os2 Os 0.1297 0.6925 0.4895 1
Os3 Os 0.3703 0.6925 0.9895 1
O1 O 0.7770 0.1219 0.2740 1
O2 O 0.2230 0.8781 0.7740 1
S1 S 0.0229 0.5866 0.1023 1
Os4 Os 0.6297 0.3075 0.4895 1
Au2 Au 0.3077 0.1700 0.8842 1
O3 O 0.7230 0.1219 0.7740 1
S2 S 0.5229 0.4134 0.1023 1
Au3 Au 0.1923 0.1700 0.3842 1
O4 O 0.2770 0.8781 0.2740 1
S3 S 0.4771 0.5866 0.6023 1
Au4 Au 0.6923 0.8300 0.3842 1
S4 S 0.9771 0.4134 0.6023 1
```

=====

x | DFT (GGA-PBE) results for a relaxed OsAuSO crystal.

```
data_OsAuSO
_chemical_formula_sum 'Os2 Au2 S2 O2'
_space_group_name_H-M_alt 'P 1'
_space_group_IT_number 1
_cell_length_a 2.9019
_cell_length_b 8.1017
_cell_length_c 5.4633
_cell_angle_alpha 90.00
_cell_angle_beta 90.00
_cell_angle_gamma 90.00
loop_
_space_group_symop_operation_xyz
'x,y,z'
loop_
_atom_site_label
_atom_site_type_symbol
_atom_site_fract_x
_atom_site_fract_y
_atom_site_fract_z
_atom_site_occupancy
O1 O 0.5000 0.0292 0.7641 1
Os1 Os 0.5000 0.1573 0.4755 1
S1 S 0.0000 0.3479 0.6521 1
O2 O 0.5000 0.9708 0.2641 1
Au1 Au 0.0000 0.3023 0.0993 1
S2 S 0.0000 0.6521 0.1521 1
Au2 Au 0.0000 0.6977 0.5993 1
Os2 Os 0.5000 0.8427 0.9755 1
```

=====

x wins, 106 meV per atom ahead of the next structure.

=====

w | DFT (GGA-PBE) results for a relaxed Tb2AuSe3 crystal.

```
data_Tb2AuSe3
_chemical_formula_sum 'Tb8 Au4 Se12'
_space_group_name_H-M_alt 'P 1'
_space_group_IT_number 1
_cell_length_a 7.8353
_cell_length_b 3.9766
_cell_length_c 18.2434
_cell_angle_alpha 90.00
_cell_angle_beta 90.00
_cell_angle_gamma 90.00
loop_
_space_group_symop_operation_xyz
'x,y,z'
loop_
_atom_site_label
_atom_site_type_symbol
_atom_site_fract_x
_atom_site_fract_y
_atom_site_fract_z
_atom_site_occupancy
Tb1 Tb 0.9574 0.2500 0.7983 1
Au1 Au 0.5695 0.7500 0.8958 1
Se1 Se 0.6715 0.7500 0.1098 1
Se2 Se 0.8285 0.2500 0.6098 1
Tb2 Tb 0.5426 0.7500 0.2983 1
Se3 Se 0.9506 0.7500 0.9178 1
Tb3 Tb 0.2754 0.7500 0.0015 1
Se4 Se 0.3285 0.2500 0.8902 1
Se5 Se 0.4506 0.7500 0.5822 1
Se6 Se 0.1923 0.7500 0.7408 1
Se7 Se 0.8077 0.2500 0.2592 1
Tb4 Tb 0.7246 0.2500 0.9985 1
Se8 Se 0.5494 0.2500 0.4178 1
Se9 Se 0.1715 0.7500 0.3902 1
Se10 Se 0.3077 0.2500 0.2408 1
Tb5 Tb 0.4574 0.2500 0.7017 1
Au2 Au 0.9305 0.2500 0.3958 1
Se11 Se 0.6923 0.7500 0.7592 1
Tb6 Tb 0.0426 0.7500 0.2017 1
Au3 Au 0.4305 0.2500 0.1042 1
Au4 Au 0.0695 0.7500 0.6042 1
Se12 Se 0.0494 0.2500 0.0822 1
Tb7 Tb 0.7754 0.7500 0.4985 1
Tb8 Tb 0.2246 0.2500 0.5015 1
```

=====

x | DFT (GGA-PBE) results for a relaxed Tb2AuSe3 crystal.

```
data_Tb2AuSe3
_chemical_formula_sum 'Tb8 Au4 Se12'
_space_group_name_H-M_alt 'P 1'
_space_group_IT_number 1
_cell_length_a 10.2942
_cell_length_b 3.9021
_cell_length_c 13.9691
_cell_angle_alpha 90.00
_cell_angle_beta 90.00
_cell_angle_gamma 90.00
loop_
_space_group_symop_operation_xyz
'x,y,z'
loop_
_atom_site_label
_atom_site_type_symbol
_atom_site_fract_x
_atom_site_fract_y
_atom_site_fract_z
_atom_site_occupancy
Se1 Se 0.2360 0.2500 0.8663 1
Au1 Au 0.7619 0.2500 0.2756 1
Tb1 Tb 0.7685 0.7500 0.4750 1
Se2 Se 0.4627 0.2500 0.0984 1
Tb2 Tb 0.7315 0.2500 0.9750 1
Se3 Se 0.7360 0.2500 0.6337 1
Se4 Se 0.5373 0.7500 0.9016 1
Tb3 Tb 0.2685 0.7500 0.0250 1
Se5 Se 0.2640 0.7500 0.3663 1
Se6 Se 0.5723 0.2500 0.4046 1
Tb4 Tb 0.0137 0.7500 0.2476 1
Se7 Se 0.9627 0.2500 0.4016 1
Se8 Se 0.4277 0.7500 0.5954 1
Se9 Se 0.0723 0.2500 0.0954 1
Se10 Se 0.0373 0.7500 0.5984 1
Au2 Au 0.2619 0.2500 0.2244 1
Se11 Se 0.7640 0.7500 0.1337 1
Tb5 Tb 0.9863 0.2500 0.7524 1
Tb6 Tb 0.5137 0.7500 0.2524 1
Se12 Se 0.9277 0.7500 0.9046 1
Tb7 Tb 0.2315 0.2500 0.5250 1
Tb8 Tb 0.4863 0.2500 0.7476 1
Au3 Au 0.7381 0.7500 0.7756 1
Au4 Au 0.2381 0.7500 0.7244 1
```

=====

w wins, 34 meV per atom ahead of the next structure.

=====

w | DFT (GGA-PBE) results for a relaxed HoAuSeO crystal.

```
data_HoAuSeO
_chemical_formula_sum 'Ho2 Au2 Se2 O2'
_space_group_name_H-M_alt 'P 1'
_space_group_IT_number 1
_cell_length_a 3.9229
_cell_length_b 3.9229
_cell_length_c 9.4464
_cell_angle_alpha 90.00
_cell_angle_beta 90.00
_cell_angle_gamma 90.00
loop_
_space_group_symop_operation_xyz
'x,y,z'
loop_
_atom_site_label
_atom_site_type_symbol
_atom_site_fract_x
_atom_site_fract_y
_atom_site_fract_z
_atom_site_occupancy
O1 O 0.7500 0.2500 0.0000 1
Se1 Se 0.2500 0.2500 0.7190 1
Au1 Au 0.2500 0.7500 0.5000 1
Se2 Se 0.7500 0.7500 0.2810 1
O2 O 0.2500 0.7500 0.0000 1
Ho1 Ho 0.2500 0.2500 0.1165 1
Au2 Au 0.7500 0.2500 0.5000 1
Ho2 Ho 0.7500 0.7500 0.8835 1
```

=====

x | DFT (GGA-PBE) results for a relaxed HoAuSeO crystal.

```
data_HoAuSeO
_chemical_formula_sum 'Ho4 Au4 Se4 O4'
_space_group_name_H-M_alt 'P 1'
_space_group_IT_number 1
_cell_length_a 5.7009
_cell_length_b 5.6951
_cell_length_c 11.0762
_cell_angle_alpha 90.00
_cell_angle_beta 92.16
_cell_angle_gamma 90.00
loop_
_space_group_symop_operation_xyz
'x,y,z'
loop_
_atom_site_label
_atom_site_type_symbol
_atom_site_fract_x
_atom_site_fract_y
_atom_site_fract_z
_atom_site_occupancy
Se1 Se 0.3022 0.0412 0.2854 1
O1 O 0.7506 0.5685 0.9981 1
Ho1 Ho 0.5067 0.3204 0.0932 1
Se2 Se 0.6910 0.6446 0.2783 1
Ho2 Ho 0.9943 0.3187 0.9076 1
O2 O 0.2494 0.0685 0.0019 1
Au1 Au 0.0032 0.8422 0.7294 1
Ho3 Ho 0.0057 0.8187 0.0924 1
Se3 Se 0.6978 0.5412 0.7146 1
Se4 Se 0.3090 0.1446 0.7217 1
Au2 Au 0.3165 0.0956 0.5034 1
O3 O 0.7485 0.0688 0.0003 1
O4 O 0.2515 0.5688 0.9997 1
Au3 Au 0.6835 0.5956 0.4966 1
Ho4 Ho 0.4933 0.8204 0.9068 1
Au4 Au 0.9968 0.3422 0.2706 1
```

=====

x wins, 93 meV per atom ahead of the next structure.